Record 1
Here is a relaxed HgTePCl2 crystal from Alexandria. Energies are from PBE.

abc: 5.0617 5.0617 5.4224
angles: 90.00 90.00 90.00
Space group P4/mmm (No. 123)
Symmetry-distinct sites (fractional):
Hg  0.0000  0.0000  0.0000 (multiplicity 1)
Te  0.5000  0.5000  0.5000 (multiplicity 1)
P  0.0000  0.0000  0.5000 (multiplicity 1)
Cl  0.0000  0.5000  0.0000 (multiplicity 2)

Summary:
**Raw formation energy**: 47.4 kJ per mole of atoms
**Excess energy over the best structure of this formula in the dataset**: 0.238 eV/atom
**Size of the total moment**: 0.79 μB/cell
**E_tot**: -2.0181 eV per atom

=====

Record 2
Here is a relaxed HgTePCl2 crystal from Alexandria. Energies are from PBE.

abc: 5.4019 5.4019 5.1456
angles: 90.00 90.00 90.00
Space group P4/mmm (No. 123)
Symmetry-distinct sites (fractional):
Hg  0.0000  0.0000  0.0000 (multiplicity 1)
Te  0.5000  0.5000  0.5000 (multiplicity 1)
P  0.5000  0.5000  0.0000 (multiplicity 1)
Cl  0.0000  0.5000  0.5000 (multiplicity 2)

Summary:
**Raw formation energy**: 24.5 kJ per mole of atoms
**Excess energy over the best structure of this formula in the dataset**: 0.000 eV/atom
**Size of the total moment**: 0.62 μB/cell
**E_tot**: -2.2559 eV per atom

=====

Record 3
Here is a relaxed TiHgPCl2 crystal from Alexandria. Energies are from PBE.

abc: 4.7039 4.7039 5.1170
angles: 90.00 90.00 90.00
Space group P4/mmm (No. 123)
Symmetry-distinct sites (fractional):
Ti  0.0000  0.0000  0.0000 (multiplicity 1)
Hg  0.5000  0.5000  0.5000 (multiplicity 1)
P  0.0000  0.0000  0.5000 (multiplicity 1)
Cl  0.0000  0.5000  0.0000 (multiplicity 2)

Summary:
**Raw formation energy**: -51.6 kJ per mole of atoms
**Excess energy over the best structure of this formula in the dataset**: 0.000 eV/atom
**Size of the total moment**: 0.00 μB/cell
**E_tot**: -3.9950 eV per atom